{"formula": "CaIn3Os", "functional": "GGA-PBE", "state": "relaxed", "de_polymorph_mev_per_atom": 0, "delta_e_f_mev_per_atom": 78, "rho_kg_m3": 6851, "dft_energy_ev_per_atom": -4.211, "cell": [[5.184, 0.000, 0.000], [0.000, 5.184, 0.000], [0.000, 0.000, 5.184]], "species": ["Ca", "In", "In", "In", "Os"], "fractional_positions": [[0.000, 0.000, 0.000], [0.000, 0.500, 0.500], [0.500, 0.000, 0.500], [0.500, 0.500, 0.000], [0.500, 0.500, 0.500]]}

{"formula": "Ca2InOs", "functional": "GGA-PBE", "state": "relaxed", "delta_e_f_mev_per_atom": 743, "rho_kg_m3": 6455, "dft_energy_ev_per_atom": -3.750, "cell": [[-2.189, 2.189, 10.345], [2.189, -2.189, 10.345], [2.189, 2.189, -10.345]], "species": ["Ca", "Ca", "Ca", "Ca", "In", "In", "Os", "Os"], "fractional_positions": [[0.104, 0.625, 0.979], [0.375, 0.354, 0.479], [0.646, 0.125, 0.021], [0.875, 0.896, 0.521], [0.250, 0.750, 0.500], [0.500, 0.500, 0.000], [0.000, 0.000, 0.000], [0.750, 0.250, 0.500]]}

{"formula": "Ca2InOs", "functional": "GGA-PBE", "state": "relaxed", "delta_e_f_mev_per_atom": 204, "rho_kg_m3": 6650, "dft_energy_ev_per_atom": -4.289, "cell": [[3.445, 0.000, 0.000], [0.000, 3.458, 0.000], [0.000, 0.000, 8.073]], "species": ["Ca", "Ca", "In", "Os"], "fractional_positions": [[0.000, 0.000, 0.209], [0.000, 0.000, 0.791], [0.500, 0.500, 0.500], [0.500, 0.500, 0.000]]}

{"formula": "CaInOs4", "functional": "GGA-PBE", "state": "relaxed", "delta_e_f_mev_per_atom": 358, "rho_kg_m3": 14418, "dft_energy_ev_per_atom": -7.919, "cell": [[0.000, 3.750, 3.750], [3.750, 0.000, 3.750], [3.750, 3.750, 0.000]], "species": ["Ca", "In", "Os", "Os", "Os", "Os"], "fractional_positions": [[0.000, 0.000, 0.000], [0.750, 0.750, 0.750], [0.375, 0.375, 0.375], [0.375, 0.375, 0.874], [0.375, 0.874, 0.375], [0.874, 0.375, 0.375]]}

- Which formula does entry 1 have?
  CaIn3Os